Record 1
Here is an optimized crystal structure of ScRuAu3 from Alexandria via LeMat-Bulk. Energies are from PBE-GGA.

volume: 122.02 Å³/f.u.
symmetry: Pm-3m, No. 221
energy relative to the elements: 0.72 eV/atom
E: -4.37 eV/atom

Cell and atoms, written as POSCAR:
```
ScRuAu3
1.0
-4.067 -2.222 -1.767
1.251 -4.175 2.369
-2.548 1.497 3.983
Sc Ru Au
1 1 3
Direct
0.500 0.500 0.500 Sc
0.000 0.000 0.000 Ru
0.000 0.500 0.000 Au
0.000 0.000 0.500 Au
0.500 0.000 0.000 Au
```

Record 2
Here is an optimized crystal structure of Sc2RuAu from Alexandria via LeMat-Bulk. Energies are from PBE-GGA.

volume: 81.16 Å³/f.u.
symmetry: I-42d, No. 122
energy relative to the elements: 0.08 eV/atom
E: -6.23 eV/atom

Cell and atoms, written as POSCAR:
```
Sc2RuAu
1.0
4.308 0.000 0.000
0.000 4.308 0.000
2.154 2.154 8.745
Sc Ru Au
4 2 2
Direct
0.609 0.125 0.250 Sc
0.141 0.625 0.250 Sc
0.375 0.391 0.750 Sc
0.875 0.859 0.750 Sc
0.500 0.500 0.000 Ru
0.250 0.750 0.500 Ru
0.000 0.000 0.000 Au
0.750 0.250 0.500 Au
```

Record 3
Here is an optimized crystal structure of ScRu2Au from Alexandria via LeMat-Bulk. Energies are from PBE-GGA.

volume: 65.13 Å³/f.u.
symmetry: Cm, No. 8
energy relative to the elements: -0.12 eV/atom
E: -7.16 eV/atom

Cell and atoms, written as POSCAR:
```
ScRu2Au
1.0
4.939 -0.001 0.009
4.037 2.844 0.009
0.983 0.311 4.637
Au Ru Sc
1 2 1
Direct
0.254 0.254 0.259 Au
0.006 0.006 0.960 Ru
0.743 0.743 0.784 Ru
0.497 0.497 0.496 Sc
```

Question: The highest volume belongs to which entry?
Answer: ScRuAu3